Record 1
First-principles (PBE) data for crystalline NiSbBr2 at its relaxed geometry, as listed in the Alexandria database.

Results
Space-group type = Cm (8)
E = -3.613 eV/atom
Formation energy (no corrections) = -0.301 eV/atom
Size of the total moment = 0.04 μB per atom

Cell: 6.6525 3.8425 8.6660 Å, 90.00 91.16 90.00°
With the nearest neighbours (Å) after each atom.
Positions (direct):
1 Ni 0.0000 0.0000 0.0000  3 Sb 2.53-2.54, 3 Br 2.62-2.63
2 Ni 0.5000 0.5000 0.0000  3 Sb 2.53-2.54, 3 Br 2.62-2.63
3 Sb 0.3372 0.0000 0.1417  1 Br 2.53, 3 Ni 2.53-2.54
4 Sb 0.8372 0.5000 0.1417  1 Br 2.53, 3 Ni 2.53-2.54
5 Br 0.1622 0.5000 0.8381  3 Ni 2.62-2.63
6 Br 0.3461 0.0000 0.4333  1 Sb 2.53
7 Br 0.6622 0.0000 0.8381  3 Ni 2.62-2.63
8 Br 0.8461 0.5000 0.4333  1 Sb 2.53

=====

Record 2
First-principles (PBE) data for crystalline NiSb2Br at its relaxed geometry, as listed in the Alexandria database.

Results
Space-group type = F-43m (216)
E = -3.457 eV/atom
Formation energy (no corrections) = 0.468 eV/atom
Size of the total moment = 0.12 μB per atom

Cell: 7.1348 7.1348 7.1348 Å, 90.00 90.00 90.00°
With the nearest neighbours (Å) after each atom.
Positions (direct):
1 Ni 0.0000 0.0000 0.0000  4 Br 3.09, 4 Sb 3.09
2 Ni 0.0000 0.5000 0.5000  4 Sb 3.09, 4 Br 3.09
3 Ni 0.5000 0.0000 0.5000  4 Sb 3.09, 4 Br 3.09
4 Ni 0.5000 0.5000 0.0000  4 Sb 3.09, 4 Br 3.09
5 Sb 0.0000 0.0000 0.5000  4 Sb 3.09, 4 Br 3.09
6 Sb 0.0000 0.5000 0.0000  4 Sb 3.09, 4 Br 3.09
7 Sb 0.2500 0.2500 0.7500  4 Sb 3.09, 4 Ni 3.09
8 Sb 0.2500 0.7500 0.2500  4 Sb 3.09, 4 Ni 3.09
9 Sb 0.5000 0.0000 0.0000  4 Sb 3.09, 4 Br 3.09
10 Sb 0.5000 0.5000 0.5000  4 Sb 3.09, 4 Br 3.09
11 Sb 0.7500 0.2500 0.2500  4 Sb 3.09, 4 Ni 3.09
12 Sb 0.7500 0.7500 0.7500  4 Sb 3.09, 4 Ni 3.09
13 Br 0.2500 0.2500 0.2500  4 Sb 3.09, 4 Ni 3.09
14 Br 0.2500 0.7500 0.7500  4 Sb 3.09, 4 Ni 3.09
15 Br 0.7500 0.2500 0.7500  4 Sb 3.09, 4 Ni 3.09
16 Br 0.7500 0.7500 0.2500  4 Sb 3.09, 4 Ni 3.09